Entry 1:
This record from Alexandria via LeMat-Bulk describes a relaxed CaAlRe2 crystal. The functional is PBE.

Geometry as CIF:
```
data_CaAlRe2
_chemical_formula_sum 'Ca1 Al1 Re2'
_cell_length_a 3.2648
_cell_length_b 4.5156
_cell_length_c 4.6078
_cell_angle_alpha 90.00
_cell_angle_beta 90.00
_cell_angle_gamma 90.00
_symmetry_space_group_name_H-M 'P 1'
_symmetry_Int_Tables_number 1
_symmetry_space_group_name_Hall 'P 1'
loop_
_atom_site_label
_atom_site_fract_x
_atom_site_fract_y
_atom_site_fract_z
Re1 0.5000 0.5000 0.0000
Re2 0.0000 0.0000 0.0000
Ca1 0.0000 0.5000 0.5000
Al1 0.5000 0.0000 0.5000
```

Space-group type: No. 47
Raw total energy, eV/atom: -7.14
E_form, meV/atom: 515
Fermi-level density of states, states/eV/atom: 0.66

Entry 2:
This record from Alexandria via LeMat-Bulk describes a relaxed CaAlRe3 crystal. The functional is PBE.

Geometry as CIF:
```
data_CaAlRe3
_chemical_formula_sum 'Ca1 Al1 Re3'
_cell_length_a 4.5991
_cell_length_b 4.5991
_cell_length_c 4.5991
_cell_angle_alpha 90.00
_cell_angle_beta 90.00
_cell_angle_gamma 90.00
_symmetry_space_group_name_H-M 'P 1'
_symmetry_Int_Tables_number 1
_symmetry_space_group_name_Hall 'P 1'
loop_
_atom_site_label
_atom_site_fract_x
_atom_site_fract_y
_atom_site_fract_z
Ca1 0.5000 0.5000 0.5000
Al1 0.0000 0.0000 0.0000
Re1 0.0000 0.0000 0.5000
Re2 0.5000 0.0000 0.0000
Re3 0.0000 0.5000 0.0000
```

Space-group type: No. 221
Raw total energy, eV/atom: -7.10
E_form, meV/atom: 1515
Fermi-level density of states, states/eV/atom: 2.04

Entry 3:
This record from Alexandria via LeMat-Bulk describes a relaxed CaAlRe2 crystal. The functional is PBE.

Geometry as CIF:
```
data_CaAlRe2
_chemical_formula_sum 'Ca1 Al1 Re2'
_cell_length_a 5.4108
_cell_length_b 5.4721
_cell_length_c 2.6997
_cell_angle_alpha 80.76
_cell_angle_beta 79.98
_cell_angle_gamma 116.84
_symmetry_space_group_name_H-M 'P 1'
_symmetry_Int_Tables_number 1
_symmetry_space_group_name_Hall 'P 1'
loop_
_atom_site_label
_atom_site_fract_x
_atom_site_fract_y
_atom_site_fract_z
Re1 0.0000 0.0000 0.0000
Re2 0.5000 0.0000 0.5000
Al1 0.0000 0.5000 0.5000
Ca1 0.5000 0.5000 0.0000
```

Space-group type: No. 12
Raw total energy, eV/atom: -7.18
E_form, meV/atom: 483
Fermi-level density of states, states/eV/atom: 0.69

Entry 4:
This record from Alexandria via LeMat-Bulk describes a relaxed CaAlRe2 crystal. The functional is PBE.

Geometry as CIF:
```
data_CaAlRe2
_chemical_formula_sum 'Ca1 Al1 Re2'
_cell_length_a 5.5543
_cell_length_b 5.5543
_cell_length_c 5.5543
_cell_angle_alpha 146.58
_cell_angle_beta 129.15
_cell_angle_gamma 62.22
_symmetry_space_group_name_H-M 'P 1'
_symmetry_Int_Tables_number 1
_symmetry_space_group_name_Hall 'P 1'
loop_
_atom_site_label
_atom_site_fract_x
_atom_site_fract_y
_atom_site_fract_z
Ca1 0.2414 0.7414 0.5000
Re1 0.9660 0.9660 0.0000
Re2 0.7660 0.2660 0.5000
Al1 0.5266 0.5266 0.0000
```

Space-group type: No. 44
Raw total energy, eV/atom: -7.26
E_form, meV/atom: 402
Fermi-level density of states, states/eV/atom: 1.03

Entry 5:
This record from Alexandria via LeMat-Bulk describes a relaxed CaAlRe2 crystal. The functional is PBE.

Geometry as CIF:
```
data_CaAlRe2
_chemical_formula_sum 'Ca2 Al2 Re4'
_cell_length_a 4.2033
_cell_length_b 4.2033
_cell_length_c 9.8876
_cell_angle_alpha 77.73
_cell_angle_beta 77.73
_cell_angle_gamma 90.00
_symmetry_space_group_name_H-M 'P 1'
_symmetry_Int_Tables_number 1
_symmetry_space_group_name_Hall 'P 1'
loop_
_atom_site_label
_atom_site_fract_x
_atom_site_fract_y
_atom_site_fract_z
Al1 0.2500 0.7500 0.5000
Al2 0.5000 0.5000 0.0000
Ca1 0.0000 0.0000 0.0000
Ca2 0.7500 0.2500 0.5000
Re1 0.8750 0.4769 0.7500
Re2 0.2269 0.1250 0.2500
Re3 0.3750 0.7731 0.7500
Re4 0.5231 0.6250 0.2500
```

Space-group type: No. 122
Raw total energy, eV/atom: -6.98
E_form, meV/atom: 679
Fermi-level density of states, states/eV/atom: 0.62

Entry 6:
This record from Alexandria via LeMat-Bulk describes a relaxed CaAlRe2 crystal. The functional is PBE.

Geometry as CIF:
```
data_CaAlRe2
_chemical_formula_sum 'Ca1 Al1 Re2'
_cell_length_a 2.7517
_cell_length_b 2.7517
_cell_length_c 9.2018
_cell_angle_alpha 90.00
_cell_angle_beta 90.00
_cell_angle_gamma 105.54
_symmetry_space_group_name_H-M 'P 1'
_symmetry_Int_Tables_number 1
_symmetry_space_group_name_Hall 'P 1'
loop_
_atom_site_label
_atom_site_fract_x
_atom_site_fract_y
_atom_site_fract_z
Re1 0.0000 0.0000 0.0295
Re2 0.0000 0.0000 0.4705
Ca1 0.5000 0.5000 0.7500
Al1 0.5000 0.5000 0.2500
```

Space-group type: No. 65
Raw total energy, eV/atom: -7.30
E_form, meV/atom: 361
Fermi-level density of states, states/eV/atom: 0.52

Entry 7:
This record from Alexandria via LeMat-Bulk describes a relaxed CaAlRe4 crystal. The functional is PBE.

Geometry as CIF:
```
data_CaAlRe4
_chemical_formula_sum 'Ca1 Al1 Re4'
_cell_length_a 5.2931
_cell_length_b 5.2931
_cell_length_c 5.2931
_cell_angle_alpha 60.00
_cell_angle_beta 60.00
_cell_angle_gamma 60.00
_symmetry_space_group_name_H-M 'P 1'
_symmetry_Int_Tables_number 1
_symmetry_space_group_name_Hall 'P 1'
loop_
_atom_site_label
_atom_site_fract_x
_atom_site_fract_y
_atom_site_fract_z
Re1 0.8738 0.3754 0.3754
Re2 0.3754 0.3754 0.3754
Re3 0.3754 0.8738 0.3754
Re4 0.3754 0.3754 0.8738
Al1 0.7500 0.7500 0.7500
Ca1 0.0000 0.0000 0.0000
```

Space-group type: No. 216
Raw total energy, eV/atom: -9.01
E_form, meV/atom: 250
Fermi-level density of states, states/eV/atom: 0.46

Entry 8:
This record from Alexandria via LeMat-Bulk describes a relaxed CaAlRe2 crystal. The functional is PBE.

Geometry as CIF:
```
data_CaAlRe2
_chemical_formula_sum 'Ca1 Al1 Re2'
_cell_length_a 2.7431
_cell_length_b 2.7431
_cell_length_c 9.0281
_cell_angle_alpha 90.00
_cell_angle_beta 90.00
_cell_angle_gamma 90.00
_symmetry_space_group_name_H-M 'P 1'
_symmetry_Int_Tables_number 1
_symmetry_space_group_name_Hall 'P 1'
loop_
_atom_site_label
_atom_site_fract_x
_atom_site_fract_y
_atom_site_fract_z
Re1 0.0000 0.0000 0.4662
Re2 0.0000 0.0000 0.0338
Ca1 0.5000 0.5000 0.7500
Al1 0.5000 0.5000 0.2500
```

Space-group type: No. 123
Raw total energy, eV/atom: -7.22
E_form, meV/atom: 439
Fermi-level density of states, states/eV/atom: 1.06

Entry 9:
This record from Alexandria via LeMat-Bulk describes a relaxed CaAlRe2 crystal. The functional is PBE.

Geometry as CIF:
```
data_CaAlRe2
_chemical_formula_sum 'Ca1 Al1 Re2'
_cell_length_a 4.4422
_cell_length_b 4.4422
_cell_length_c 6.3678
_cell_angle_alpha 84.09
_cell_angle_beta 84.09
_cell_angle_gamma 38.28
_symmetry_space_group_name_H-M 'P 1'
_symmetry_Int_Tables_number 1
_symmetry_space_group_name_Hall 'P 1'
loop_
_atom_site_label
_atom_site_fract_x
_atom_site_fract_y
_atom_site_fract_z
Ca1 0.2492 0.2492 0.2482
Re1 0.7551 0.7551 0.7635
Re2 0.0063 0.0063 0.9232
Al1 0.4894 0.4894 0.5651
```

Space-group type: No. 8
Raw total energy, eV/atom: -7.37
E_form, meV/atom: 289
Fermi-level density of states, states/eV/atom: 0.71

Entry 10:
This record from Alexandria via LeMat-Bulk describes a relaxed Ca4AlRe crystal. The functional is PBE.

Geometry as CIF:
```
data_Ca4AlRe
_chemical_formula_sum 'Ca4 Al1 Re1'
_cell_length_a 6.0708
_cell_length_b 6.0708
_cell_length_c 6.0708
_cell_angle_alpha 60.00
_cell_angle_beta 60.00
_cell_angle_gamma 60.00
_symmetry_space_group_name_H-M 'P 1'
_symmetry_Int_Tables_number 1
_symmetry_space_group_name_Hall 'P 1'
loop_
_atom_site_label
_atom_site_fract_x
_atom_site_fract_y
_atom_site_fract_z
Ca1 0.3760 0.3760 0.8720
Ca2 0.3760 0.3760 0.3760
Ca3 0.3760 0.8720 0.3760
Ca4 0.8720 0.3760 0.3760
Al1 0.0000 0.0000 0.0000
Re1 0.7500 0.7500 0.7500
```

Space-group type: No. 216
Raw total energy, eV/atom: -2.95
E_form, meV/atom: 1086
Fermi-level density of states, states/eV/atom: 1.50

Entry 11:
This record from Alexandria via LeMat-Bulk describes a relaxed CaAlRe2 crystal. The functional is PBE.

Geometry as CIF:
```
data_CaAlRe2
_chemical_formula_sum 'Ca1 Al1 Re2'
_cell_length_a 3.3689
_cell_length_b 3.3689
_cell_length_c 6.6029
_cell_angle_alpha 90.00
_cell_angle_beta 90.00
_cell_angle_gamma 90.00
_symmetry_space_group_name_H-M 'P 1'
_symmetry_Int_Tables_number 1
_symmetry_space_group_name_Hall 'P 1'
loop_
_atom_site_label
_atom_site_fract_x
_atom_site_fract_y
_atom_site_fract_z
Re1 0.0000 0.0000 0.4271
Re2 0.0000 0.0000 0.0729
Al1 0.5000 0.5000 0.2500
Ca1 0.5000 0.5000 0.7500
```

Space-group type: No. 123
Raw total energy, eV/atom: -7.31
E_form, meV/atom: 351
Fermi-level density of states, states/eV/atom: 0.55

Entry 12:
This record from Alexandria via LeMat-Bulk describes a relaxed CaAlRe2 crystal. The functional is PBE.

Geometry as CIF:
```
data_CaAlRe2
_chemical_formula_sum 'Ca1 Al1 Re2'
_cell_length_a 3.1053
_cell_length_b 3.1053
_cell_length_c 7.6290
_cell_angle_alpha 90.00
_cell_angle_beta 90.00
_cell_angle_gamma 90.00
_symmetry_space_group_name_H-M 'P 1'
_symmetry_Int_Tables_number 1
_symmetry_space_group_name_Hall 'P 1'
loop_
_atom_site_label
_atom_site_fract_x
_atom_site_fract_y
_atom_site_fract_z
Ca1 0.5000 0.5000 0.7582
Re1 0.0000 0.0000 0.0553
Re2 0.5000 0.5000 0.2384
Al1 0.0000 0.0000 0.4480
```

Space-group type: No. 99
Raw total energy, eV/atom: -7.58
E_form, meV/atom: 77
Fermi-level density of states, states/eV/atom: 0.93

Entry 13:
This record from Alexandria via LeMat-Bulk describes a relaxed CaAlRe2 crystal. The functional is PBE.

Geometry as CIF:
```
data_CaAlRe2
_chemical_formula_sum 'Ca1 Al1 Re2'
_cell_length_a 5.3794
_cell_length_b 5.3794
_cell_length_c 2.6369
_cell_angle_alpha 90.00
_cell_angle_beta 90.00
_cell_angle_gamma 116.66
_symmetry_space_group_name_H-M 'P 1'
_symmetry_Int_Tables_number 1
_symmetry_space_group_name_Hall 'P 1'
loop_
_atom_site_label
_atom_site_fract_x
_atom_site_fract_y
_atom_site_fract_z
Re1 0.5000 0.5000 0.0000
Re2 0.0000 0.0000 0.0000
Ca1 0.0000 0.5000 0.5000
Al1 0.5000 0.0000 0.5000
```

Space-group type: No. 65
Raw total energy, eV/atom: -7.07
E_form, meV/atom: 586
Fermi-level density of states, states/eV/atom: 1.03

Entry 14:
This record from Alexandria via LeMat-Bulk describes a relaxed CaAlRe crystal. The functional is PBE.

Geometry as CIF:
```
data_CaAlRe
_chemical_formula_sum 'Ca1 Al1 Re1'
_cell_length_a 7.1319
_cell_length_b 7.1319
_cell_length_c 7.1319
_cell_angle_alpha 156.77
_cell_angle_beta 156.77
_cell_angle_gamma 33.09
_symmetry_space_group_name_H-M 'P 1'
_symmetry_Int_Tables_number 1
_symmetry_space_group_name_Hall 'P 1'
loop_
_atom_site_label
_atom_site_fract_x
_atom_site_fract_y
_atom_site_fract_z
Re1 0.6508 0.6508 0.0000
Ca1 0.3308 0.3308 0.0000
Al1 0.0184 0.0184 0.0000
```

Space-group type: No. 107
Raw total energy, eV/atom: -5.76
E_form, meV/atom: 306
Fermi-level density of states, states/eV/atom: 0.74

Entry 15:
This record from Alexandria via LeMat-Bulk describes a relaxed CaAlRe2S crystal. The functional is PBE.

Geometry as CIF:
```
data_CaAlRe2S
_chemical_formula_sum 'Ca1 Al1 Re2 S1'
_cell_length_a 5.2147
_cell_length_b 4.9876
_cell_length_c 5.2147
_cell_angle_alpha 90.00
_cell_angle_beta 90.00
_cell_angle_gamma 90.00
_symmetry_space_group_name_H-M 'P 1'
_symmetry_Int_Tables_number 1
_symmetry_space_group_name_Hall 'P 1'
loop_
_atom_site_label
_atom_site_fract_x
_atom_site_fract_y
_atom_site_fract_z
Re1 0.5000 0.0000 0.0000
Re2 0.0000 0.0000 0.5000
Ca1 0.0000 0.0000 0.0000
Al1 0.5000 0.5000 0.5000
S1 0.0000 0.5000 0.0000
```

Space-group type: No. 123
Raw total energy, eV/atom: -4.43
Fermi-level density of states, states/eV/atom: 0.76

Entry 16:
This record from Alexandria via LeMat-Bulk describes a relaxed SrCa2AlRe crystal. The functional is PBE.

Geometry as CIF:
```
data_SrCa2AlRe
_chemical_formula_sum 'Sr1 Ca2 Al1 Re1'
_cell_length_a 5.7263
_cell_length_b 5.9950
_cell_length_c 5.7263
_cell_angle_alpha 90.00
_cell_angle_beta 90.00
_cell_angle_gamma 90.00
_symmetry_space_group_name_H-M 'P 1'
_symmetry_Int_Tables_number 1
_symmetry_space_group_name_Hall 'P 1'
loop_
_atom_site_label
_atom_site_fract_x
_atom_site_fract_y
_atom_site_fract_z
Re1 0.5000 0.5000 0.5000
Ca1 0.0000 0.0000 0.5000
Ca2 0.5000 0.0000 0.0000
Al1 0.0000 0.0000 0.0000
Sr1 0.0000 0.5000 0.0000
```

Space-group type: No. 123
Raw total energy, eV/atom: -3.12
E_form, meV/atom: 1259
Fermi-level density of states, states/eV/atom: 1.35

Entry 17:
This record from Alexandria via LeMat-Bulk describes a relaxed Ca2AlRh crystal. The functional is PBE.

Geometry as CIF:
```
data_Ca2AlRh
_chemical_formula_sum 'Ca2 Al1 Rh1'
_cell_length_a 3.5114
_cell_length_b 3.5114
_cell_length_c 7.3790
_cell_angle_alpha 90.00
_cell_angle_beta 90.00
_cell_angle_gamma 90.00
_symmetry_space_group_name_H-M 'P 1'
_symmetry_Int_Tables_number 1
_symmetry_space_group_name_Hall 'P 1'
loop_
_atom_site_label
_atom_site_fract_x
_atom_site_fract_y
_atom_site_fract_z
Rh1 0.5000 0.5000 0.2500
Ca1 0.0000 0.0000 0.0269
Ca2 0.0000 0.0000 0.4731
Al1 0.5000 0.5000 0.7500
```

Space-group type: No. 123
Raw total energy, eV/atom: -4.02
E_form, meV/atom: -247
Fermi-level density of states, states/eV/atom: 0.46

Entry 18:
This record from Alexandria via LeMat-Bulk describes a relaxed Ca4AlRh crystal. The functional is PBE.

Geometry as CIF:
```
data_Ca4AlRh
_chemical_formula_sum 'Ca4 Al1 Rh1'
_cell_length_a 6.1172
_cell_length_b 6.1172
_cell_length_c 6.1172
_cell_angle_alpha 60.00
_cell_angle_beta 60.00
_cell_angle_gamma 60.00
_symmetry_space_group_name_H-M 'P 1'
_symmetry_Int_Tables_number 1
_symmetry_space_group_name_Hall 'P 1'
loop_
_atom_site_label
_atom_site_fract_x
_atom_site_fract_y
_atom_site_fract_z
Ca1 0.3758 0.8727 0.3758
Ca2 0.8727 0.3758 0.3758
Ca3 0.3758 0.3758 0.3758
Ca4 0.3758 0.3758 0.8727
Rh1 0.7500 0.7500 0.7500
Al1 0.0000 0.0000 0.0000
```

Space-group type: No. 216
Raw total energy, eV/atom: -2.59
E_form, meV/atom: 597
Fermi-level density of states, states/eV/atom: 0.54

Entry 19:
This record from Alexandria via LeMat-Bulk describes a relaxed CaAl2Rh crystal. The functional is PBE.

Geometry as CIF:
```
data_CaAl2Rh
_chemical_formula_sum 'Ca1 Al2 Rh1'
_cell_length_a 4.6812
_cell_length_b 4.6812
_cell_length_c 4.6812
_cell_angle_alpha 122.32
_cell_angle_beta 119.04
_cell_angle_gamma 88.85
_symmetry_space_group_name_H-M 'P 1'
_symmetry_Int_Tables_number 1
_symmetry_space_group_name_Hall 'P 1'
loop_
_atom_site_label
_atom_site_fract_x
_atom_site_fract_y
_atom_site_fract_z
Al1 0.2360 0.7360 0.5000
Al2 0.9905 0.9905 0.0000
Ca1 0.5021 0.5021 0.0000
Rh1 0.7713 0.2713 0.5000
```

Space-group type: No. 44
Raw total energy, eV/atom: -4.49
E_form, meV/atom: -276
Fermi-level density of states, states/eV/atom: 0.53

Entry 20:
This record from Alexandria via LeMat-Bulk describes a relaxed CaAlRh2 crystal. The functional is PBE.

Geometry as CIF:
```
data_CaAlRh2
_chemical_formula_sum 'Ca1 Al1 Rh2'
_cell_length_a 7.1328
_cell_length_b 4.5061
_cell_length_c 3.2028
_cell_angle_alpha 89.94
_cell_angle_beta 63.40
_cell_angle_gamma 129.22
_symmetry_space_group_name_H-M 'P 1'
_symmetry_Int_Tables_number 1
_symmetry_space_group_name_Hall 'P 1'
loop_
_atom_site_label
_atom_site_fract_x
_atom_site_fract_y
_atom_site_fract_z
Rh1 0.0000 0.0000 0.0000
Rh2 0.5000 0.0000 0.5000
Ca1 0.5000 0.5000 0.0000
Al1 0.0000 0.5000 0.5000
```

Space-group type: No. 65
Raw total energy, eV/atom: -5.67
E_form, meV/atom: -563
Fermi-level density of states, states/eV/atom: 0.37